This record from Alexandria describes a geometry-optimized AlIn3Te structure. The functional is GGA-PBE.

Output
The value obtained for the formation energy without anion corrections is 0.706 eV per atom. The density of states at the Fermi level is 4.94 states/eV/f.u. Its distance to the lowest polymorph of the same formula is 585 meV per atom.

a b c (Å): 5.949 5.949 5.949
angles (deg): 90.00 90.00 90.00
Positions (direct):
Al1 0.000 0.000 0.000
In1 0.000 0.500 0.500
In2 0.500 0.000 0.500
In3 0.500 0.500 0.000
Te1 0.500 0.500 0.500

=====

This record from Alexandria describes a geometry-optimized Al4InTe structure. The functional is GGA-PBE.

Output
The value obtained for the formation energy without anion corrections is 0.187 eV per atom. The density of states at the Fermi level is 3.60 states/eV/f.u.

a b c (Å): 5.631 5.631 5.631
angles (deg): 60.00 60.00 60.00
Positions (direct):
Al1 0.125 0.125 0.125
Al2 0.125 0.125 0.626
Al3 0.125 0.626 0.125
Al4 0.626 0.125 0.125
In1 0.750 0.750 0.750
Te1 0.500 0.500 0.500

=====

This record from Alexandria describes a geometry-optimized AlInTe structure. The functional is GGA-PBE.

Output
The value obtained for the formation energy without anion corrections is -0.132 eV per atom. The density of states at the Fermi level is 0.37 states/eV/f.u. Its distance to the lowest polymorph of the same formula is 0 meV per atom.

a b c (Å): 4.620 4.570 8.223
angles (deg): 90.00 90.02 90.00
Positions (direct):
Al1 0.146 0.000 0.000
Al2 0.854 0.500 0.000
In1 0.002 0.748 0.352
In2 0.998 0.248 0.648
Te1 0.499 0.749 0.768
Te2 0.501 0.249 0.232

=====

This record from Alexandria describes a geometry-optimized Al2InTe structure. The functional is GGA-PBE.

Output
The value obtained for the formation energy without anion corrections is 0.187 eV per atom. The density of states at the Fermi level is 2.39 states/eV/f.u. Its distance to the lowest polymorph of the same formula is 153 meV per atom.

a b c (Å): 5.055 5.055 3.681
angles (deg): 90.00 90.00 90.00
Positions (direct):
Al1 0.000 0.500 0.000
Al2 0.500 0.000 0.000
In1 0.000 0.000 0.500
Te1 0.500 0.500 0.500

=====

This record from Alexandria describes a geometry-optimized AlInTe structure. The functional is GGA-PBE.

Output
The value obtained for the formation energy without anion corrections is 0.120 eV per atom. The density of states at the Fermi level is 1.65 states/eV/f.u. Its distance to the lowest polymorph of the same formula is 252 meV per atom.

a b c (Å): 5.403 5.403 3.085
angles (deg): 90.00 90.00 120.00
Positions (direct):
Al1 0.000 0.000 0.000
In1 0.333 0.667 0.501
Te1 0.667 0.333 0.996

=====

This record from Alexandria describes a geometry-optimized AlInTe structure. The functional is GGA-PBE.

Output
The value obtained for the formation energy without anion corrections is 0.113 eV per atom. The density of states at the Fermi level is 1.66 states/eV/f.u. Its distance to the lowest polymorph of the same formula is 245 meV per atom.

a b c (Å): 5.021 5.021 5.021
angles (deg): 60.00 60.00 60.00
Positions (direct):
Al1 0.000 0.000 0.000
In1 0.750 0.750 0.750
Te1 0.250 0.250 0.250

=====

This record from Alexandria describes a geometry-optimized AlInTe structure. The functional is GGA-PBE.

Output
The value obtained for the formation energy without anion corrections is -0.130 eV per atom. The density of states at the Fermi level is 0.58 states/eV/f.u. Its distance to the lowest polymorph of the same formula is 2 meV per atom.

a b c (Å): 8.730 8.730 5.141
angles (deg): 107.00 107.00 28.17
Positions (direct):
Al1 0.026 0.026 0.276
Al2 0.974 0.974 0.724
In1 0.168 0.168 0.916
In2 0.832 0.832 0.084
Te1 0.366 0.366 0.617
Te2 0.634 0.634 0.383

=====

This record from Alexandria describes a geometry-optimized Al2InTe structure. The functional is GGA-PBE.

Output
The value obtained for the formation energy without anion corrections is 0.064 eV per atom. The density of states at the Fermi level is 1.73 states/eV/f.u. Its distance to the lowest polymorph of the same formula is 31 meV per atom.

a b c (Å): 4.205 4.205 6.140
angles (deg): 109.02 109.02 84.73
Positions (direct):
Al1 0.000 0.000 0.000
Al2 0.560 0.560 0.601
In1 0.053 0.053 0.531
Te1 0.502 0.502 0.105

=====

This record from Alexandria describes a geometry-optimized Al2In2Te structure. The functional is GGA-PBE.

Output
The value obtained for the formation energy without anion corrections is 0.136 eV per atom. The density of states at the Fermi level is 1.91 states/eV/f.u. Its distance to the lowest polymorph of the same formula is 29 meV per atom.

a b c (Å): 8.331 8.331 3.489
angles (deg): 90.00 90.00 90.00
Positions (direct):
Al1 0.117 0.383 0.000
Al2 0.383 0.883 0.000
Al3 0.617 0.117 0.000
Al4 0.883 0.617 0.000
In1 0.183 0.683 0.500
In2 0.317 0.183 0.500
In3 0.683 0.817 0.500
In4 0.817 0.317 0.500
Te1 0.000 0.000 0.000
Te2 0.500 0.500 0.000

=====

This record from Alexandria describes a geometry-optimized AlIn2Te2 structure. The functional is GGA-PBE.

Output
The value obtained for the formation energy without anion corrections is 0.021 eV per atom. The density of states at the Fermi level is 3.54 states/eV/f.u.

a b c (Å): 8.136 8.136 4.554
angles (deg): 90.00 90.00 90.00
Positions (direct):
Al1 0.000 0.000 0.000
Al2 0.500 0.500 0.000
In1 0.135 0.365 0.500
In2 0.365 0.865 0.500
In3 0.635 0.135 0.500
In4 0.865 0.635 0.500
Te1 0.180 0.680 0.000
Te2 0.320 0.180 0.000
Te3 0.680 0.820 0.000
Te4 0.820 0.320 0.000

=====

This record from Alexandria describes a geometry-optimized Al3InTe6 structure. The functional is GGA-PBE.

Output
The value obtained for the formation energy without anion corrections is -0.214 eV per atom. The density of states at the Fermi level is 2.65 states/eV/f.u.

a b c (Å): 6.762 7.015 8.171
angles (deg): 68.92 76.59 70.59
Positions (direct):
Al1 0.000 0.000 0.000
Al2 0.000 0.500 0.000
Al3 0.500 0.000 0.000
In1 0.500 0.000 0.500
Te1 0.158 0.090 0.246
Te2 0.214 0.282 0.755
Te3 0.353 0.681 0.904
Te4 0.647 0.319 0.096
Te5 0.786 0.718 0.245
Te6 0.842 0.910 0.754

=====

This record from Alexandria describes a geometry-optimized Al2InTe structure. The functional is GGA-PBE.

Output
The value obtained for the formation energy without anion corrections is 0.034 eV per atom. The density of states at the Fermi level is 1.37 states/eV/f.u. Its distance to the lowest polymorph of the same formula is 0 meV per atom.

a b c (Å): 3.042 3.973 7.883
angles (deg): 90.00 90.03 90.00
Positions (direct):
Al1 0.000 0.000 0.000
Al2 0.500 0.500 0.173
In1 0.498 0.500 0.763
Te1 0.500 0.000 0.437

=====

This record from Alexandria describes a geometry-optimized Al2InTe structure. The functional is GGA-PBE.

Output
The value obtained for the formation energy without anion corrections is 0.146 eV per atom. The density of states at the Fermi level is 1.54 states/eV/f.u. Its distance to the lowest polymorph of the same formula is 112 meV per atom.

a b c (Å): 6.148 6.148 5.198
angles (deg): 114.03 114.03 31.72
Positions (direct):
Al1 0.000 0.000 0.000
Al2 0.708 0.708 0.225
In1 0.484 0.484 0.488
Te1 0.273 0.273 0.783

=====

This record from Alexandria describes a geometry-optimized AlIn3Te4 structure. The functional is GGA-PBE.

Output
The value obtained for the formation energy without anion corrections is -0.279 eV per atom. The density of states at the Fermi level is 0.04 states/eV/f.u.

a b c (Å): 11.492 7.116 6.998
angles (deg): 90.00 90.00 90.00
Positions (direct):
Al1 0.000 0.184 0.000
Al2 0.500 0.816 0.500
In1 0.000 0.766 0.566
In2 0.249 0.714 0.033
In3 0.251 0.286 0.533
In4 0.500 0.234 0.066
In5 0.749 0.286 0.533
In6 0.751 0.714 0.033
Te1 0.000 0.228 0.622
Te2 0.000 0.820 0.087
Te3 0.210 0.300 0.104
Te4 0.290 0.700 0.604
Te5 0.500 0.180 0.587
Te6 0.500 0.772 0.122
Te7 0.710 0.700 0.604
Te8 0.790 0.300 0.104

=====

This record from Alexandria describes a geometry-optimized Al2In3Te4 structure. The functional is GGA-PBE.

Output
The value obtained for the formation energy without anion corrections is -0.205 eV per atom. The density of states at the Fermi level is 2.87 states/eV/f.u.

a b c (Å): 9.155 9.155 8.307
angles (deg): 93.40 93.40 58.90
Positions (direct):
Al1 0.039 0.345 0.014
Al2 0.345 0.039 0.514
Al3 0.655 0.961 0.486
Al4 0.961 0.655 0.986
In1 0.022 0.978 0.750
In2 0.306 0.455 0.675
In3 0.455 0.306 0.175
In4 0.545 0.694 0.825
In5 0.694 0.545 0.325
In6 0.978 0.022 0.250
Te1 0.127 0.306 0.335
Te2 0.225 0.702 0.018
Te3 0.298 0.775 0.482
Te4 0.306 0.127 0.835
Te5 0.694 0.873 0.165
Te6 0.702 0.225 0.518
Te7 0.775 0.298 0.982
Te8 0.873 0.694 0.665

=====

This record from Alexandria describes a geometry-optimized Al2In2Te structure. The functional is GGA-PBE.

Output
The value obtained for the formation energy without anion corrections is 0.183 eV per atom. The density of states at the Fermi level is 3.55 states/eV/f.u. Its distance to the lowest polymorph of the same formula is 75 meV per atom.

a b c (Å): 7.080 7.080 7.080
angles (deg): 143.06 143.06 53.23
Positions (direct):
Al1 0.099 0.099 0.000
Al2 0.901 0.901 0.000
In1 0.250 0.750 0.500
In2 0.750 0.250 0.500
Te1 0.500 0.500 0.000

=====

This record from Alexandria describes a geometry-optimized Al2In2Te structure. The functional is GGA-PBE.

Output
The value obtained for the formation energy without anion corrections is 0.154 eV per atom. The density of states at the Fermi level is 2.42 states/eV/f.u. Its distance to the lowest polymorph of the same formula is 47 meV per atom.

a b c (Å): 8.837 8.837 3.161
angles (deg): 90.00 90.00 90.00
Positions (direct):
Al1 0.112 0.388 0.000
Al2 0.388 0.888 0.000
Al3 0.612 0.112 0.000
Al4 0.888 0.612 0.000
In1 0.184 0.684 0.500
In2 0.316 0.184 0.500
In3 0.684 0.816 0.500
In4 0.816 0.316 0.500
Te1 0.000 0.000 0.500
Te2 0.500 0.500 0.500

=====

This record from Alexandria describes a geometry-optimized Al2InTe structure. The functional is GGA-PBE.

Output
The value obtained for the formation energy without anion corrections is 0.119 eV per atom. The density of states at the Fermi level is 1.12 states/eV/f.u. Its distance to the lowest polymorph of the same formula is 86 meV per atom.

a b c (Å): 4.825 4.825 6.806
angles (deg): 115.88 115.88 48.54
Positions (direct):
Al1 0.222 0.222 0.306
Al2 0.778 0.778 0.694
In1 0.000 0.000 0.500
Te1 0.500 0.500 0.000

=====

This record from Alexandria describes a geometry-optimized Al2InTe structure. The functional is GGA-PBE.

Output
The value obtained for the formation energy without anion corrections is 0.179 eV per atom. The density of states at the Fermi level is 2.59 states/eV/f.u. Its distance to the lowest polymorph of the same formula is 146 meV per atom.

a b c (Å): 3.109 3.109 9.866
angles (deg): 90.00 90.00 96.94
Positions (direct):
Al1 0.000 0.000 0.000
Al2 0.500 0.500 0.185
In1 0.500 0.500 0.765
Te1 0.000 0.000 0.439

=====

This record from Alexandria describes a geometry-optimized Al2InTe structure. The functional is GGA-PBE.

Output
The value obtained for the formation energy without anion corrections is 0.121 eV per atom. The density of states at the Fermi level is 2.18 states/eV/f.u. Its distance to the lowest polymorph of the same formula is 87 meV per atom.

a b c (Å): 7.665 7.665 7.665
angles (deg): 130.46 130.46 72.67
Positions (direct):
Al1 0.117 0.625 0.992
Al2 0.375 0.367 0.492
Al3 0.633 0.125 0.008
Al4 0.875 0.883 0.508
In1 0.000 0.000 0.000
In2 0.750 0.250 0.500
Te1 0.250 0.750 0.500
Te2 0.500 0.500 0.000

=====

This record from Alexandria describes a geometry-optimized Al2InTe structure. The functional is GGA-PBE.

Output
The value obtained for the formation energy without anion corrections is 0.301 eV per atom. The density of states at the Fermi level is 3.46 states/eV/f.u. Its distance to the lowest polymorph of the same formula is 267 meV per atom.

a b c (Å): 5.147 5.147 5.147
angles (deg): 60.00 60.00 60.00
Positions (direct):
Al1 0.000 0.000 0.000
Al2 0.250 0.250 0.250
In1 0.750 0.750 0.750
Te1 0.500 0.500 0.500

=====

This record from Alexandria describes a geometry-optimized AlTl2InTe5 structure. The functional is GGA-PBE.

Output
The value obtained for the formation energy without anion corrections is -0.233 eV per atom. The density of states at the Fermi level is 2.77 states/eV/f.u.

a b c (Å): 10.979 10.979 13.935
angles (deg): 90.00 90.00 158.26
Positions (direct):
Al1 0.239 0.761 0.500
Al2 0.761 0.239 0.000
Tl1 0.364 0.636 0.736
Tl2 0.412 0.588 0.099
Tl3 0.588 0.412 0.599
Tl4 0.636 0.364 0.236
In1 0.092 0.908 0.900
In2 0.908 0.092 0.400
Te1 0.022 0.978 0.731
Te2 0.121 0.879 0.442
Te3 0.223 0.777 0.872
Te4 0.254 0.746 0.136
Te5 0.440 0.560 0.524
Te6 0.560 0.440 0.024
Te7 0.746 0.254 0.636
Te8 0.777 0.223 0.372
Te9 0.879 0.121 0.942
Te10 0.978 0.022 0.231

=====

This record from Alexandria describes a geometry-optimized AlTl2InTe4 structure. The functional is GGA-PBE.

Output
The value obtained for the formation energy without anion corrections is -0.372 eV per atom.

a b c (Å): 7.149 7.149 7.651
angles (deg): 116.40 116.40 92.18
Positions (direct):
Al1 0.000 0.000 0.000
Tl1 0.415 0.585 0.000
Tl2 0.673 0.327 0.500
In1 0.250 0.750 0.500
Te1 0.112 0.323 0.413
Te2 0.327 0.062 0.938
Te3 0.677 0.888 0.587
Te4 0.938 0.673 0.062

=====

This record from Alexandria describes a geometry-optimized ThAl4In structure. The functional is GGA-PBE.

Output
The density of states at the Fermi level is 7.84 states/eV/f.u. The energy relative to the elements comes out at -13.5 kJ/mol of atoms.

a b c (Å): 5.636 5.636 5.636
angles (deg): 60.00 60.00 60.00
Positions (direct):
Th1 0.000 0.000 0.000
Al1 0.127 0.624 0.624
Al2 0.624 0.127 0.624
Al3 0.624 0.624 0.127
Al4 0.624 0.624 0.624
In1 0.250 0.250 0.250

=====

This record from Alexandria describes a geometry-optimized Th2AlIn structure. The functional is GGA-PBE.

Output
The density of states at the Fermi level is 4.41 states/eV/f.u. Its distance to the lowest polymorph of the same formula is 10 meV per atom. The energy relative to the elements comes out at -25.2 kJ/mol of atoms.

a b c (Å): 6.653 6.653 6.653
angles (deg): 118.51 95.03 115.78
Positions (direct):
Th1 0.278 0.000 0.778
Th2 0.278 0.500 0.278
Th3 0.722 0.000 0.222
Th4 0.722 0.500 0.722
Al1 0.211 0.461 0.750
Al2 0.789 0.539 0.250
In1 0.201 0.951 0.250
In2 0.799 0.049 0.750

=====

| no. | E_tot (eV for the cell shown) | size of the total moment (μB/atom) |
| --- | --- | --- |
| 1 | -11.57 | 0.00 |
| 2 | -19.73 | 0.00 |
| 3 | -20.04 | 0.00 |
| 4 | -12.62 | 0.00 |
| 5 | -9.26 | 0.00 |
| 6 | -9.28 | 0.00 |
| 7 | -20.03 | 0.00 |
| 8 | -13.11 | 0.00 |
| 9 | -30.85 | 0.00 |
| 10 | -30.80 | 0.00 |
| 11 | -34.95 | 0.00 |
| 12 | -13.23 | 0.00 |
| 13 | -12.78 | 0.00 |
| 14 | -53.51 | 0.00 |
| 15 | -60.22 | 0.00 |
| 16 | -15.19 | 0.00 |
| 17 | -30.67 | 0.00 |
| 18 | -12.89 | 0.00 |
| 19 | -12.65 | 0.00 |
| 20 | -25.76 | 0.00 |
| 21 | -12.16 | 0.00 |
| 22 | -58.04 | 0.00 |
| 23 | -26.76 | 0.00 |
| 24 | -25.97 | 0.00 |
| 25 | -44.73 | 0.00 |